Crystalline Ba2TeRu at its relaxed geometry. Source: the Alexandria database, functional GGA-PBE.

Lattice parameters (Å, degrees): 3.8894 3.8894 9.5172 90.00 90.00 89.96
Positions (direct):
1 Ba 0.0000 0.0000 0.9078
2 Ba 0.5000 0.5000 0.3271
3 Te 0.5000 0.5000 0.6673
4 Ru 0.0000 0.0000 0.5978

ΔE_f (raw) = -0.004 eV per atom

=====

Crystalline La2CrAs at its relaxed geometry. Source: the Alexandria database, functional GGA-PBE.

Lattice parameters (Å, degrees): 4.2117 4.2117 8.1340 75.02 75.02 60.00
Positions (direct):
1 As 0.2500 0.2500 0.2500
2 La 0.9939 0.9939 0.0178
3 La 0.5061 0.5061 0.4822
4 Cr 0.7500 0.7500 0.7500

Energy of formation = -0.3102 eV per atom